[1]
Below is crystalline CaCd2Cl at its relaxed geometry, with properties calculated at the PBE level.

Lattice parameters (Å, degrees): 5.9474 5.9474 3.8394 90.00 90.00 124.30
Fractional positions:
Cd 0.0000 0.0000 0.0000
Ca 0.0000 0.5000 0.5000
Cl 0.5000 0.0000 0.5000
Cd 0.5000 0.5000 0.0000

Computed properties:
* uncorrected formation energy: -0.628 eV/atom
* E: -2.048 eV per atom
* energy above the lowest structure with this stoichiometry: 161 meV per atom
* volume: 112 Å³/cell



[2]
Below is crystalline LaPrLuZr at its relaxed geometry, with properties calculated at the PBE level.

Lattice parameters (Å, degrees): 5.5542 5.5542 5.5542 60.00 60.00 60.00
Fractional positions:
La 0.5000 0.5000 0.5000
Zr 0.2500 0.2500 0.2500
Pr 0.0000 0.0000 0.0000
Lu 0.7500 0.7500 0.7500

Computed properties:
* E: -5.506 eV per atom
* volume: 121 Å³/cell
* DFT formation energy: 0.188 eV/atom



[3]
Below is crystalline PSO at its relaxed geometry, with properties calculated at the PBE level.

Lattice parameters (Å, degrees): 4.0614 2.6220 9.3905 90.00 90.00 90.00
Fractional positions:
O 0.5000 0.5000 0.0055
O 0.5000 0.0000 0.5055
S 0.0000 0.0000 0.2350
P 0.5000 0.0000 0.3464
P 0.5000 0.5000 0.8464
S 0.0000 0.5000 0.7350

Computed properties:
* uncorrected formation energy: -0.393 eV/atom
* E: -5.225 eV per atom
* energy above the lowest structure with this stoichiometry: 495 meV per atom
* volume: 100 Å³/cell



[4]
Below is crystalline LiEr3In3 at its relaxed geometry, with properties calculated at the PBE level.

Lattice parameters (Å, degrees): 4.6335 6.0526 14.2113 83.03 80.62 67.49
Fractional positions:
Er 0.5383 0.3087 0.6147
In 0.8647 0.7164 0.5541
Er 0.7352 0.7490 0.7805
Er 0.4617 0.6913 0.3853
Er 0.4057 0.2712 0.9175
Er 0.5943 0.7288 0.0825
Li 0.2421 0.9132 0.6026
In 0.8772 0.1733 0.0722
In 0.1353 0.2836 0.4459
Er 0.2648 0.2510 0.2195
In 0.0271 0.1837 0.7622
In 0.9729 0.8163 0.2378
In 0.1228 0.8267 0.9278
Li 0.7579 0.0868 0.3974

Computed properties:
* E: -3.752 eV per atom
* volume: 363 Å³/cell
* DFT formation energy: -0.350 eV/atom



[5]
Below is crystalline YB3Cl at its relaxed geometry, with properties calculated at the PBE level.

Lattice parameters (Å, degrees): 4.1042 4.1042 4.1042 90.00 90.00 90.00
Fractional positions:
B 0.0000 0.0000 0.5000
B 0.5000 0.0000 0.0000
B 0.0000 0.5000 0.0000
Cl 0.0000 0.0000 0.0000
Y 0.5000 0.5000 0.5000

Computed properties:
* uncorrected formation energy: 1.635 eV/atom
* E: -4.034 eV per atom
* energy above the lowest structure with this stoichiometry: 0 meV per atom
* volume: 69 Å³/cell



[6]
Below is crystalline CaOF3 at its relaxed geometry, with properties calculated at the PBE level.

Lattice parameters (Å, degrees): 3.9465 3.9465 3.9465 90.00 90.00 90.00
Fractional positions:
F 0.0000 0.0000 0.5000
Ca 0.5000 0.5000 0.5000
F 0.0000 0.5000 0.0000
O 0.0000 0.0000 0.0000
F 0.5000 0.0000 0.0000

Computed properties:
* uncorrected formation energy: -1.498 eV/atom
* E: -4.013 eV per atom
* energy above the lowest structure with this stoichiometry: 170 meV per atom
* volume: 61 Å³/cell



[7]
Below is crystalline Pu2MgZn4Au3 at its relaxed geometry, with properties calculated at the PBE level.

Lattice parameters (Å, degrees): 4.0906 4.0906 12.2104 90.00 90.00 90.00
Fractional positions:
Au 0.0000 0.5000 0.1422
Au 0.5000 0.0000 0.8578
Pu 0.0000 0.5000 0.7572
Zn 0.5000 0.5000 0.0000
Pu 0.5000 0.0000 0.2428
Zn 0.0000 0.5000 0.3550
Au 0.0000 0.0000 0.5000
Mg 0.5000 0.5000 0.5000
Zn 0.0000 0.0000 0.0000
Zn 0.5000 0.0000 0.6450

Computed properties:
* E: -4.812 eV per atom
* volume: 204 Å³/cell
* DFT formation energy: -0.293 eV/atom



[8]
Below is crystalline K2SrSb at its relaxed geometry, with properties calculated at the PBE level.

Lattice parameters (Å, degrees): 4.5138 4.8422 10.3098 76.45 90.00 90.00
Fractional positions:
Sb 0.0000 0.2638 0.5969
Sr 0.5000 0.7420 0.6403
K 0.5000 0.4055 0.3138
K 0.0000 0.0887 0.9490

Computed properties:
* uncorrected formation energy: -0.444 eV/atom
* E: -2.444 eV per atom
* volume: 219 Å³/cell